# 1
! La4Dy3TmS8 (GGA-PBE, relaxed); values from VASP
&SYSTEM
  ibrav = 0, nat = 16, ntyp = 4
/
ATOMIC_SPECIES
La 138.91 La.upf
Dy 162.50 Dy.upf
Tm 168.93 Tm.upf
S 32.06 S.upf
ATOMIC_POSITIONS crystal
La 0.5000 0.0000 0.0000
La 0.5000 0.0000 0.5000
La 0.0000 0.0000 0.0000
La 0.0000 0.0000 0.5000
Dy 0.5000 0.5000 0.0000
Dy 0.5000 0.5000 0.5000
Dy 0.0000 0.5000 0.5000
Tm 0.0000 0.5000 0.0000
S 0.2407 0.7268 0.9861
S 0.2407 0.7268 0.4814
S 0.2571 0.2711 0.5141
S 0.7454 0.7268 0.9861
S 0.2546 0.2732 0.0139
S 0.7429 0.7289 0.4859
S 0.7593 0.2732 0.5186
S 0.7593 0.2732 0.0139
CELL_PARAMETERS angstrom
7.9744 0.0000 0.0000
0.0000 8.1169 0.0941
-3.9872 -3.9840 5.6421
! total magnetization = 0.0 μB per formula unit
! formation energy without anion corrections = -2.078 eV/atom
! space-group type = R-3m

# 2
! LaDyTm4S8 (GGA-PBE, relaxed); values from VASP
&SYSTEM
  ibrav = 0, nat = 14, ntyp = 4
/
ATOMIC_SPECIES
La 138.91 La.upf
Dy 162.50 Dy.upf
Tm 168.93 Tm.upf
S 32.06 S.upf
ATOMIC_POSITIONS crystal
La 0.3743 0.3743 0.8770
Dy 0.9990 0.9990 0.0030
Tm 0.6255 0.6255 0.1236
Tm 0.9992 0.5030 0.4987
Tm 0.5030 0.9992 0.4987
Tm 0.9992 0.9992 0.4987
S 0.2390 0.7894 0.7326
S 0.7894 0.2390 0.7326
S 0.2390 0.2390 0.7326
S 0.2360 0.2360 0.2920
S 0.7540 0.2313 0.2607
S 0.2313 0.7540 0.2607
S 0.7540 0.7540 0.2607
S 0.7572 0.7572 0.7283
CELL_PARAMETERS angstrom
8.0314 0.0000 0.0000
4.0157 6.9554 0.0000
4.0157 2.3185 6.5884
! total magnetization = 0.0 μB per formula unit
! formation energy without anion corrections = -1.933 eV/atom
! space-group type = R3m